[1]
Sb2IrPbI: optimized geometry, PBE-GGA.

Cell and atoms, written as POSCAR:
```
Sb2IrPbI
1.0
5.150 0.000 0.000
0.000 5.150 0.000
0.000 0.000 5.785
Pb I Sb Ir
1 1 2 1
Cartesian
2.575 2.575 2.893
0.000 0.000 2.893
0.000 2.575 0.000
2.575 0.000 0.000
0.000 0.000 0.000
```

Properties
Energy above the most stable polymorph in this dataset (eV/atom): 0.000
Space group: P4/mmm
Volume (Å³/f.u.): 153
Calculated density (Mg/m³): 8.33


[2]
Ti3VIr: optimized geometry, PBE-GGA.

Cell and atoms, written as POSCAR:
```
Ti3VIr
1.0
-0.853 -0.861 4.584
-3.309 -3.172 -1.211
3.287 -3.417 -0.030
Ti Ir V
3 1 1
Cartesian
1.643 -1.709 -0.015
-1.655 -1.586 -0.606
-0.426 -0.430 2.292
0.000 0.000 0.000
-0.438 -3.725 1.671
```

Properties
DFT formation energy (meV per atom): 562
Energy above the most stable polymorph in this dataset (eV/atom): 0.958
Space group: Pm-3m
Volume (Å³/f.u.): 107
Calculated density (Mg/m³): 6.02


[3]
PmZn2: optimized geometry, PBE-GGA.

Cell and atoms, written as POSCAR:
```
PmZn2
1.0
-3.072 2.370 -2.423
-4.884 -2.885 -0.948
-3.628 3.046 3.261
Zn Pm
4 2
Cartesian
-5.102 2.299 2.239
-6.483 0.233 -2.349
-5.715 3.859 0.224
-5.869 -1.327 -0.334
-7.709 1.392 0.340
-3.875 1.140 -0.450
```

Properties
DFT formation energy (meV per atom): -367
Energy above the most stable polymorph in this dataset (eV/atom): 0.000
Space group: Imma
Volume (Å³/f.u.): 64
Calculated density (Mg/m³): 7.19